PBE La6CuCl5, optimized geometry; VASP energy = -4.90 eV per atom; SG = No. 12; spin magnetization = 0.000 μB per cell; ρ = 5.67 Mg/m³; energy relative to the elements, uncorrected = -15.94 eV per formula unit
1.0
-4.648 -4.846 4.349
3.512 -5.833 0.860
4.165 -0.727 5.445
Cl La Cu
5 6 1
Cartesian
1.087 -3.835 6.050
5.110 -4.381 4.187
1.942 -7.571 4.605
2.567 -2.179 2.118
-0.568 -5.340 2.605
4.918 -6.990 5.414
0.651 -6.620 7.302
2.378 -4.786 3.352
-0.136 -2.636 1.217
-1.889 -4.415 5.240
-1.000 -8.043 3.992
0.000 0.000 0.000

=====

PBE La2CuCl, optimized geometry; VASP energy = -4.69 eV per atom; SG = No. 123; spin magnetization = 0.002 μB per cell; E above lowest polymorph = 0.142 eV per atom; ρ = 6.29 Mg/m³; energy relative to the elements, uncorrected = -2.97 eV per formula unit
1.0
3.490 0.000 0.000
0.000 3.491 0.000
0.000 0.000 8.160
La Cl Cu
2 1 1
Cartesian
0.000 0.000 4.236
0.000 0.000 8.004
1.745 1.746 2.040
1.745 1.746 6.120

=====

PBE La3Cu5Cl12, optimized geometry; VASP energy = -4.12 eV per atom; SG = No. 230; spin magnetization = 6.644 μB per cell; ρ = 4.17 Mg/m³; energy relative to the elements, uncorrected = -25.04 eV per formula unit
1.0
13.388 0.000 0.000
-4.463 12.622 0.000
-4.463 -6.311 10.931
Cu Cl La
20 48 12
Cartesian
5.578 -3.945 9.565
-2.231 -3.156 5.466
6.694 0.000 0.000
5.578 3.156 8.198
-3.347 7.100 4.099
-2.231 6.311 0.000
3.347 9.467 2.733
4.463 6.311 0.000
3.347 2.367 1.366
5.578 5.522 4.099
4.463 -3.156 5.466
7.810 -0.789 6.832
-1.116 3.156 2.733
1.116 -3.156 8.198
-1.116 0.789 6.832
0.000 0.000 0.000
-1.116 10.256 1.366
1.116 3.945 9.565
-4.463 3.156 5.466
2.231 3.156 5.466
-2.309 -4.982 10.619
-3.373 10.723 1.307
-1.142 -3.338 7.764
1.142 1.074 6.457
2.863 4.590 0.991
3.321 5.237 4.475
8.390 0.682 5.153
3.927 -1.648 3.480
1.696 4.663 7.452
5.605 9.649 3.167
-1.696 -0.682 5.153
0.535 7.960 7.452
0.078 4.091 4.471
6.062 6.309 1.986
2.767 1.648 3.480
2.154 8.532 4.471
1.599 -1.719 9.936
5.605 1.899 1.307
-1.090 7.385 4.475
7.229 -0.966 2.298
8.848 1.329 0.312
1.599 1.721 9.940
7.836 -4.412 9.624
5.095 -1.721 9.940
5.095 1.719 9.936
2.863 8.030 0.995
-5.552 3.338 7.764
4.385 2.221 6.461
5.552 -1.074 6.457
-3.927 5.629 5.778
9.557 6.313 1.986
9.003 -2.761 6.773
-1.599 0.002 8.945
-1.142 4.412 9.624
2.309 -2.221 6.461
10.015 2.973 3.167
-0.632 8.032 0.991
6.159 6.993 5.778
-4.540 9.073 4.158
6.772 11.293 0.312
-2.767 7.278 8.633
-2.309 2.761 6.773
-5.095 -0.002 8.945
-0.535 0.966 2.298
4.998 5.345 8.633
-0.632 4.592 0.995
-4.385 4.982 10.619
6.772 3.550 4.158
5.578 0.789 4.099
-1.116 5.522 6.832
3.347 7.100 6.832
1.116 6.311 2.733
7.810 8.678 1.366
-3.347 2.367 9.565
3.347 0.000 8.198
7.810 3.945 1.366
10.041 0.000 2.733
-3.347 -2.367 9.565
1.116 -0.789 4.099
-5.578 6.311 8.198

=====

PBE LaCu2Cl, optimized geometry; VASP energy = -4.18 eV per atom; SG = No. 123; spin magnetization = 0.000 μB per cell; E above lowest polymorph = 0.171 eV per atom; ρ = 6.05 Mg/m³; energy relative to the elements, uncorrected = -1.74 eV per formula unit
1.0
-0.248 -3.757 -1.347
2.570 -1.179 2.815
-3.957 -0.899 3.236
Cu La Cl
2 1 1
Cartesian
0.000 0.000 0.000
1.161 -2.468 0.734
-2.103 -2.328 0.944
-0.694 -1.039 3.026

=====

PBE LaCu2Cl, optimized geometry; VASP energy = -4.25 eV per atom; SG = No. 6; spin magnetization = 0.000 μB per cell; E above lowest polymorph = 0.103 eV per atom; ρ = 5.53 Mg/m³; energy relative to the elements, uncorrected = -2.02 eV per formula unit
1.0
3.670 0.000 0.000
0.000 3.599 -0.025
0.000 -0.031 6.856
La Cu Cl
1 2 1
Cartesian
0.000 1.347 3.376
0.000 3.124 1.007
1.835 1.323 1.038
1.835 3.156 4.801

=====

PBE La2CuCl, optimized geometry; VASP energy = -4.43 eV per atom; SG = No. 122; spin magnetization = 0.002 μB per cell; E above lowest polymorph = 0.404 eV per atom; ρ = 4.50 Mg/m³; energy relative to the elements, uncorrected = -1.92 eV per formula unit
1.0
-4.021 -3.060 -3.733
3.911 -4.913 -0.185
-3.227 -6.725 3.703
La Cu Cl
4 2 2
Cartesian
-2.860 -4.230 -1.458
-2.490 -7.998 1.309
-2.489 -12.056 -0.653
1.164 -5.112 0.370
0.000 0.000 0.000
-3.652 -6.886 -0.995
-0.055 -3.986 -1.959
0.314 -7.812 0.779